The following is a GGA+U calculation of a geometry-optimized ZrMnN2F structure, from Alexandria.

Output
* size of the total moment: 0.950 μB per atom
* E: -7.57 eV/atom
* calculated volume: 74 Å³/cell
* relative energy among the computed polymorphs: 0 meV per atom

```
data_ZrMnN2F
_chemical_formula_sum 'Zr1 Mn1 N2 F1'
_space_group_name_H-M_alt 'P 4/m m m'
_space_group_IT_number 123
_space_group_name_Hall '-P 4 2'
_cell_length_a 4.2438
_cell_length_b 4.2438
_cell_length_c 4.1218
_cell_angle_alpha 90.00
_cell_angle_beta 90.00
_cell_angle_gamma 90.00
loop_
_atom_site_label
_atom_site_fract_x
_atom_site_fract_y
_atom_site_fract_z
Zr1 0.0000 0.0000 0.0000
Mn1 0.5000 0.5000 0.5000
N1 0.0000 0.5000 0.0000
F1 0.0000 0.0000 0.5000
```